Ga2TeO | PBE-GGA | optimized geometry

The value obtained for the final energy is -4.05 eV per atom. For the formation energy from raw total energies, the calculation gives -513 meV per atom. The size of the total moment comes out at 0.0 μB per formula unit. The value obtained for the energy relative to the lowest polymorph listed for this composition is 0 meV per atom.

The space group is I-42d (No. 122) and the conventional cell measures 5.399, 5.399 and 11.799 Å, with angles of 90.00, 90.00 and 90.00 degrees. The asymmetric unit holds Ga at (0.134, 0.250, 0.125), Te at (0.000, 0.000, 0.500) and O at (0.000, 0.000, 0.000).